(1)
A plane-wave DFT calculation with GGA-PBE was carried out for a relaxed structure of Pr3NdCo.

The space group is Pmn2_1 (No. 31) and the conventional cell measures 7.741, 6.566 and 6.373 Å, with angles of 90.00, 90.00 and 90.00 degrees. The asymmetric unit holds Pr at (0.000, 0.156, 0.000), Pr at (0.250, 0.327, 0.502), Nd at (0.000, 0.843, 0.503) and Co at (0.000, 0.501, 0.252).

For the total magnetic moment, the calculation gives 0.00 μB/f.u. The total DFT energy (no corrections) is -26.073 eV per formula unit. For the density of states at the Fermi level, the calculation gives 6.383 states/eV/f.u. The formation energy is 0.028 eV/atom. The value obtained for the distance to the lowest polymorph of the same formula is 68 meV/atom.



(2)
A plane-wave DFT calculation with GGA-PBE was carried out for a relaxed structure of HfP2S2.

The space group is P4/mmm (No. 123) and the conventional cell measures 5.082, 5.082 and 4.723 Å, with angles of 90.00, 90.00 and 90.00 degrees. The asymmetric unit holds Hf at (0.000, 0.000, 0.000), P at (0.000, 0.500, 0.000), S at (0.000, 0.000, 0.500) and S at (0.500, 0.500, 0.500).

For the total magnetic moment, the calculation gives 0.00 μB/f.u. The total DFT energy (no corrections) is -26.448 eV per formula unit. For the density of states at the Fermi level, the calculation gives 6.218 states/eV/f.u. The value obtained for the raw formation energy is 50 kJ/mol of atoms. The value obtained for the distance to the lowest polymorph of the same formula is 339 meV/atom.



- Which value of total magnetic moment does entry 2 give?
  0.00 μB/f.u.